Record 1
Rb2Ni3As4 (PBE, relaxed); uncorrected energy = -4.502 eV/atom; space group = No. 69; energy of formation from the pure elements = -0.29 eV per atom
1.0
0.0000 4.6832 8.6653
2.7716 0.0000 8.6653
2.7716 4.6832 0.0000
Rb Ni As
2 3 4
direct
0.1752 0.1752 0.8248
0.8248 0.8248 0.1752
0.0000 0.0000 0.5000
0.5000 0.5000 0.0000
0.5000 0.5000 0.5000
0.2333 0.5662 0.4338
0.4338 0.7667 0.2333
0.5662 0.2333 0.7667
0.7667 0.4338 0.5662

---

Record 2
RbHf2Ru (PBE, relaxed); uncorrected energy = -6.631 eV/atom; space group = No. 225; offset from the most stable computed form = 0 meV/atom; energy of formation from the pure elements = 0.91 eV per atom
1.0
0.0000 3.4819 3.4819
3.4819 0.0000 3.4819
3.4819 3.4819 0.0000
Rb Hf Ru
1 2 1
direct
0.0000 0.0000 0.0000
0.2500 0.2500 0.2500
0.7500 0.7500 0.7500
0.5000 0.5000 0.5000

---

Record 3
LiLa3C (PBE, relaxed); uncorrected energy = -5.125 eV/atom; space group = No. 221; offset from the most stable computed form = 0 meV/atom; energy of formation from the pure elements = 0.06 eV per atom
1.0
5.2818 0.0000 0.0000
0.0000 5.2818 0.0000
0.0000 0.0000 5.2818
Li La C
1 3 1
direct
0.0000 0.0000 0.0000
0.0000 0.5000 0.5000
0.5000 0.0000 0.5000
0.5000 0.5000 0.0000
0.5000 0.5000 0.5000

---

Record 4
YZn3Cd9 (PBE, relaxed); uncorrected energy = -1.516 eV/atom; space group = No. 12; energy of formation from the pure elements = -0.09 eV per atom
1.0
2.8827 -6.8527 0.0000
2.8827 6.8527 0.0000
-2.8122 0.0000 6.8513
Y Zn Cd
1 3 9
direct
0.0000 0.0000 0.0000
0.0000 0.5000 0.0000
0.5000 0.0000 0.0000
0.5000 0.5000 0.5000
0.0000 0.0000 0.5000
0.0013 0.6509 0.6585
0.2935 0.5122 0.7874
0.3491 0.9987 0.3415
0.4878 0.7065 0.2126
0.5122 0.2935 0.7874
0.6509 0.0013 0.6585
0.7065 0.4878 0.2126
0.9987 0.3491 0.3415

---

Record 5
LiAsNO2 (PBE, relaxed); uncorrected energy = -5.254 eV/atom; formation energy without anion corrections = -0.29 eV per atom; space group = No. 123
1.0
3.7546 0.0000 0.0000
0.0000 3.7546 0.0000
0.0000 0.0000 3.6347
Li As N O
1 1 1 2
direct
0.0000 0.0000 0.0000
0.5000 0.5000 0.5000
0.5000 0.5000 0.0000
0.0000 0.5000 0.5000
0.5000 0.0000 0.5000

---

Record 6
ErGa2Pd5 (PBE, relaxed); uncorrected energy = -5.251 eV/atom; space group = No. 71; energy of formation from the pure elements = -0.68 eV per atom
1.0
-1.8949 3.5410 5.1744
1.8949 -3.5410 5.1744
1.8949 3.5410 -5.1744
Er Ga Pd
1 2 5
direct
0.0000 0.0000 0.0000
0.2593 0.7593 0.5000
0.7407 0.2407 0.5000
0.1563 0.3629 0.7934
0.4305 0.6371 0.7934
0.5000 0.0000 0.5000
0.5695 0.3629 0.2066
0.8437 0.6371 0.2066

---

Record 7
Zr3Ti (PBE, relaxed); uncorrected energy = -8.341 eV/atom; space group = No. 44; offset from the most stable computed form = 0 meV/atom; energy of formation from the pure elements = 0.04 eV per atom
1.0
-1.5904 5.0537 2.7270
1.5904 -5.0537 2.7270
1.5904 5.0537 -2.7270
Zr Ti
3 1
direct
0.0000 0.0000 0.0000
0.4061 0.6495 0.7566
0.8929 0.6495 0.2434
0.4830 0.9830 0.5000

---

Record 8
Al2SbBr (PBE, relaxed); uncorrected energy = -3.346 eV/atom; formation energy without anion corrections = -0.03 eV per atom; space group = No. 99; offset from the most stable computed form = 106 meV/atom
1.0
3.2151 0.0000 0.0000
0.0000 3.2151 0.0000
0.0000 0.0000 9.5249
Al Sb Br
2 1 1
direct
0.0000 0.0000 0.0000
0.5000 0.5000 0.1905
0.5000 0.5000 0.7809
0.0000 0.0000 0.3701

---

Record 9
Li3MgBe (PBE, relaxed); uncorrected energy = -1.304 eV/atom; space group = No. 221; offset from the most stable computed form = 505 meV/atom; energy of formation from the pure elements = 0.91 eV per atom
1.0
4.8947 0.0000 0.0000
0.0000 4.8947 0.0000
0.0000 0.0000 4.8947
Li Mg Be
3 1 1
direct
0.0000 0.0000 0.5000
0.0000 0.5000 0.0000
0.5000 0.0000 0.0000
0.0000 0.0000 0.0000
0.5000 0.5000 0.5000

---

Record 10
Nd8PSe6 (PBE, relaxed); uncorrected energy = -5.660 eV/atom; formation energy without anion corrections = -1.36 eV per atom; space group = No. 147
1.0
10.5666 0.0000 0.0000
-5.2833 9.1510 0.0000
0.0000 0.0000 4.3126
Nd P Se
8 1 6
direct
0.0295 0.3050 0.2616
0.2755 0.9705 0.2616
0.3050 0.2755 0.7384
0.3333 0.6667 0.7460
0.6667 0.3333 0.2540
0.6950 0.7245 0.2616
0.7245 0.0295 0.7384
0.9705 0.6950 0.7384
0.0000 0.0000 0.5000
0.1269 0.6480 0.2459
0.3520 0.4789 0.2459
0.4789 0.1269 0.7541
0.5211 0.8731 0.2459
0.6480 0.5211 0.7541
0.8731 0.3520 0.7541

---

Record 11
NiTeRu (PBE, relaxed); uncorrected energy = -5.599 eV/atom; formation energy without anion corrections = 0.47 eV per atom; space group = No. 156; offset from the most stable computed form = 320 meV/atom
1.0
3.1912 0.0000 0.0000
-1.5956 2.7637 0.0000
0.0000 0.0000 5.6235
Ni Te Ru
1 1 1
direct
0.0000 0.0000 0.0000
0.6667 0.3333 0.6767
0.3333 0.6667 0.3295

---

Record 12
RbCrCuBi2 (PBE, relaxed); uncorrected energy = -2.281 eV/atom; space group = No. 123; energy of formation from the pure elements = 2.21 eV per atom
1.0
6.0425 0.0000 0.0000
0.0000 6.0425 0.0000
0.0000 0.0000 5.0255
Rb Cr Cu Bi
1 1 1 2
direct
0.0000 0.0000 0.0000
0.5000 0.5000 0.5000
0.0000 0.0000 0.5000
0.0000 0.5000 0.0000
0.5000 0.0000 0.0000